# GGA-PBE Sr2Ca5Hg3, optimized geometry
data_Sr2Ca5Hg3
_cell_length_a 12.990
_cell_length_b 16.355
_cell_length_c 6.926
_cell_angle_alpha 90.00
_cell_angle_beta 104.11
_cell_angle_gamma 90.00
_space_group_name_H-M_alt 'C 1 2/c 1'
_space_group_IT_number 15
loop_
_space_group_symop_operation_xyz
'x,y,z'
'-x,-y,-z'
'-x,y,-z+1/2'
'x,-y,z+1/2'
'x+1/2,y+1/2,z'
'-x+1/2,-y+1/2,-z'
'-x+1/2,y+1/2,-z+1/2'
'x+1/2,-y+1/2,z+1/2'
loop_
_atom_site_label
_atom_site_fract_x
_atom_site_fract_y
_atom_site_fract_z
Sr1 0.114 0.202 0.058
Ca1 0.000 0.002 0.250
Ca2 0.116 0.344 0.540
Ca3 0.200 0.449 0.096
Hg1 0.000 0.491 0.750
Hg2 0.141 0.140 0.551
# **Fermi-level density of states**: 0.923 states/eV/atom
# **Calculated formation energy**: -0.30 eV per atom